(1)
Computed, not measured: a geometry-optimized Pu2MoH5 structure at the GGA-PBE level of DFT.

Unit cell a=5.0467 b=5.0466 c=5.0285 alpha=120.11 beta=120.11 gamma=90.01
Element x y z (fractional)
H 0.2651 0.7436 0.0086
H 0.7504 0.7504 0.5008
Pu 0.2499 0.7499 0.4998
H 0.2651 0.2651 0.0086
H 0.7435 0.7436 0.0086
Mo 0.0096 0.0096 0.0192
H 0.7435 0.2651 0.0086
Pu 0.7499 0.2499 0.4998

Theoretical density ... 10.84 Mg/m³

---

(2)
Computed, not measured: a geometry-optimized PuMoH4 structure at the GGA-PBE level of DFT.

Unit cell a=4.9208 b=4.9702 c=5.6509 alpha=116.09 beta=115.81 gamma=90.00
Element x y z (fractional)
H 0.2001 0.0000 0.5000
H 0.5000 0.1966 0.0000
H 0.7999 0.0000 0.5000
H 0.7999 0.5000 0.5000
Mo 0.1242 0.8742 0.7484
H 0.0000 0.1966 0.0000
Mo 0.8758 0.1258 0.2516
H 0.5000 0.8034 0.0000
Pu 0.3732 0.6232 0.2464
H 0.2001 0.5000 0.5000
Pu 0.6268 0.3768 0.7536
H 0.0000 0.8034 0.0000

Theoretical density ... 10.52 Mg/m³

---

(3)
Computed, not measured: a geometry-optimized PuMo2H structure at the GGA-PBE level of DFT.

Unit cell a=2.9412 b=2.9412 c=7.8529 alpha=79.21 beta=79.21 gamma=60.00
Element x y z (fractional)
Mo 0.8814 0.8814 0.3558
Pu 0.0000 0.0000 0.0000
H 0.5000 0.5000 0.5000
Mo 0.1186 0.1186 0.6442

Theoretical density ... 12.63 Mg/m³

---

(4)
Computed, not measured: a geometry-optimized Pu2MoH6 structure at the GGA-PBE level of DFT.

Unit cell a=5.0799 b=5.0799 c=5.0799 alpha=60.00 beta=60.00 gamma=60.00
Element x y z (fractional)
Pu 0.2500 0.2500 0.2500
H 0.2589 0.7411 0.2589
Pu 0.7500 0.7500 0.7500
H 0.7411 0.2589 0.2589
H 0.7411 0.7411 0.2589
H 0.2589 0.2589 0.7411
H 0.7411 0.2589 0.7411
Mo 0.0000 0.0000 0.0000
H 0.2589 0.7411 0.7411

Theoretical density ... 10.57 Mg/m³

---

N(E_F) for the records above, in order: 11.2 15.0 5.9 11.9 states/eV/cell
V for the records above, in order: 11.281 9.047 14.360 10.299 A^3/atom
Uncorrected energy for the records above, in order: -57.8 -78.6 -37.6 -62.2 eV for the cell shown